one | DFT (GGA-PBE) results for an optimized crystal structure of BaLa2InRu.

Lattice parameters (Å, degrees): 5.4614 5.4614 5.9202 90.00 90.00 90.00
Atoms (fractional coordinates):
Ba (0.0000, 0.0000, 0.0000)
La (0.0000, 0.5000, 0.5000)
La (0.5000, 0.0000, 0.5000)
In (0.5000, 0.5000, 0.0000)
Ru (0.0000, 0.0000, 0.5000)



two | DFT (GGA-PBE) results for an optimized crystal structure of BaLa2InRu.

Lattice parameters (Å, degrees): 5.4971 5.4971 5.5643 90.00 90.00 90.00
Atoms (fractional coordinates):
Ba (0.0000, 0.0000, 0.0000)
La (0.0000, 0.5000, 0.5000)
La (0.5000, 0.0000, 0.5000)
In (0.5000, 0.5000, 0.0000)
Ru (0.5000, 0.5000, 0.5000)



The calculated energies rank the structures as follows, beginning with the most stable: two, one.



one | DFT (GGA-PBE) results for an optimized crystal structure of BaLiIn6.

Lattice parameters (Å, degrees): 5.0324 5.0324 8.9507 90.00 90.00 90.00
Atoms (fractional coordinates):
Ba (0.0000, 0.0000, 0.0000)
Li (0.0000, 0.0000, 0.5000)
In (0.0000, 0.5000, 0.3341)
In (0.0000, 0.5000, 0.6659)
In (0.5000, 0.0000, 0.3341)
In (0.5000, 0.0000, 0.6659)
In (0.5000, 0.5000, 0.1581)
In (0.5000, 0.5000, 0.8419)



two | DFT (GGA-PBE) results for an optimized crystal structure of BaLiIn6.

Lattice parameters (Å, degrees): 10.2170 10.2170 10.2170 29.33 29.33 29.33
Atoms (fractional coordinates):
Ba (0.0000, 0.0000, 0.0000)
Li (0.5000, 0.5000, 0.5000)
In (0.1347, 0.1347, 0.1347)
In (0.2431, 0.2431, 0.2431)
In (0.4001, 0.4001, 0.4001)
In (0.5999, 0.5999, 0.5999)
In (0.7569, 0.7569, 0.7569)
In (0.8653, 0.8653, 0.8653)



The calculated energies rank the structures as follows, beginning with the most stable: one, two.



one | DFT (GGA-PBE) results for an optimized crystal structure of BaLiMgIn2.

Lattice parameters (Å, degrees): 5.2303 5.2303 5.2089 90.00 90.00 90.00
Atoms (fractional coordinates):
Ba (0.0000, 0.0000, 0.0000)
Li (0.5000, 0.5000, 0.5000)
Mg (0.5000, 0.5000, 0.0000)
In (0.0000, 0.5000, 0.5000)
In (0.5000, 0.0000, 0.5000)



two | DFT (GGA-PBE) results for an optimized crystal structure of BaLiMgIn2.

Lattice parameters (Å, degrees): 6.8625 6.8625 6.8625 136.98 136.98 62.46
Atoms (fractional coordinates):
Ba (0.0000, 0.0000, 0.0000)
Li (0.2500, 0.7500, 0.5000)
Mg (0.7500, 0.2500, 0.5000)
In (0.3779, 0.3779, 0.0000)
In (0.6221, 0.6221, 0.0000)



The calculated energies rank the structures as follows, beginning with the most stable: two, one.



one | DFT (GGA-PBE) results for an optimized crystal structure of BaLiInPb2.

Lattice parameters (Å, degrees): 7.5547 7.5547 7.5547 142.42 142.42 54.20
Atoms (fractional coordinates):
Ba (0.0000, 0.0000, 0.0000)
Li (0.2500, 0.7500, 0.5000)
In (0.7500, 0.2500, 0.5000)
Pb (0.3833, 0.3833, 0.0000)
Pb (0.6167, 0.6167, 0.0000)



two | DFT (GGA-PBE) results for an optimized crystal structure of BaLiInPb2.

Lattice parameters (Å, degrees): 5.3670 5.3670 5.3054 90.00 90.00 90.00
Atoms (fractional coordinates):
Ba (0.0000, 0.0000, 0.0000)
Li (0.5000, 0.5000, 0.5000)
In (0.5000, 0.5000, 0.0000)
Pb (0.0000, 0.5000, 0.5000)
Pb (0.5000, 0.0000, 0.5000)



The calculated energies rank the structures as follows, beginning with the most stable: one, two.



one | DFT (GGA-PBE) results for an optimized crystal structure of Ba2LiInPt.

Lattice parameters (Å, degrees): 6.1924 6.1924 5.2593 90.00 90.00 90.00
Atoms (fractional coordinates):
Ba (0.0000, 0.5000, 0.0000)
Ba (0.5000, 0.0000, 0.0000)
Li (0.0000, 0.0000, 0.5000)
In (0.5000, 0.5000, 0.5000)
Pt (0.5000, 0.5000, 0.0000)



two | DFT (GGA-PBE) results for an optimized crystal structure of Ba2LiInPt.

Lattice parameters (Å, degrees): 6.1745 6.1745 4.8449 90.00 90.00 90.00
Atoms (fractional coordinates):
Ba (0.0000, 0.5000, 0.0000)
Ba (0.5000, 0.0000, 0.0000)
Li (0.0000, 0.0000, 0.5000)
In (0.5000, 0.5000, 0.5000)
Pt (0.0000, 0.0000, 0.0000)



The calculated energies rank the structures as follows, beginning with the most stable: two, one.



one | DFT (GGA-PBE) results for an optimized crystal structure of Ba2LiInRh.

Lattice parameters (Å, degrees): 6.0457 6.0457 5.2646 90.00 90.00 90.00
Atoms (fractional coordinates):
Ba (0.0000, 0.5000, 0.0000)
Ba (0.5000, 0.0000, 0.0000)
Li (0.0000, 0.0000, 0.5000)
In (0.5000, 0.5000, 0.5000)
Rh (0.5000, 0.5000, 0.0000)



two | DFT (GGA-PBE) results for an optimized crystal structure of Ba2LiInRh.

Lattice parameters (Å, degrees): 5.8054 5.8054 4.8470 90.00 90.00 90.00
Atoms (fractional coordinates):
Ba (0.0000, 0.5000, 0.0000)
Ba (0.5000, 0.0000, 0.0000)
Li (0.0000, 0.0000, 0.0000)
In (0.0000, 0.0000, 0.5000)
Rh (0.5000, 0.5000, 0.5000)



The calculated energies rank the structures as follows, beginning with the most stable: one, two.



one | DFT (GGA-PBE) results for an optimized crystal structure of BaLuIn.

Lattice parameters (Å, degrees): 5.4882 5.4882 4.1358 90.00 90.00 120.00
Atoms (fractional coordinates):
Ba (0.0000, 0.0000, 0.0000)
Lu (0.3333, 0.6667, 0.5000)
In (0.6667, 0.3333, 0.5000)



two | DFT (GGA-PBE) results for an optimized crystal structure of BaLuIn.

Lattice parameters (Å, degrees): 7.4379 7.4379 7.4379 149.21 149.21 44.11
Atoms (fractional coordinates):
Ba (0.0000, 0.0000, 0.0000)
Lu (0.2833, 0.2833, 0.0000)
In (0.6807, 0.6807, 0.0000)



The calculated energies rank the structures as follows, beginning with the most stable: two, one.



one | DFT (GGA-PBE) results for an optimized crystal structure of Ba2MgIn3.

Lattice parameters (Å, degrees): 10.5140 10.0760 6.7962 74.25 67.28 38.47
Atoms (fractional coordinates):
Ba (0.2454, 0.7546, 0.7546)
Ba (0.2500, 0.2500, 0.2500)
Ba (0.7500, 0.7500, 0.7500)
Ba (0.7546, 0.2454, 0.2454)
Mg (0.1680, 0.1680, 0.8320)
Mg (0.8320, 0.8320, 0.1680)
In (0.1680, 0.6641, 0.3359)
In (0.3335, 0.3335, 0.6665)
In (0.3359, 0.8320, 0.1680)
In (0.6641, 0.1680, 0.8320)
In (0.6665, 0.6665, 0.3335)
In (0.8320, 0.3359, 0.6641)



two | DFT (GGA-PBE) results for an optimized crystal structure of Ba2MgIn3.

Lattice parameters (Å, degrees): 6.7114 6.7114 8.6426 129.98 129.98 46.26
Atoms (fractional coordinates):
Ba (0.0000, 0.0000, 0.0000)
Ba (0.0967, 0.0967, 0.5989)
Mg (0.3814, 0.3814, 0.2047)
In (0.3888, 0.3888, 0.5766)
In (0.7075, 0.7075, 0.3946)
In (0.7129, 0.7129, 0.0236)



The calculated energies rank the structures as follows, beginning with the most stable: two, one.



one | DFT (GGA-PBE) results for an optimized crystal structure of Ba2MgIn2.

Lattice parameters (Å, degrees): 6.6936 6.6936 12.5517 114.70 114.70 47.56
Atoms (fractional coordinates):
Ba (0.0872, 0.0872, 0.3872)
Ba (0.3152, 0.3152, 0.8281)
Ba (0.6848, 0.6848, 0.1719)
Ba (0.9128, 0.9128, 0.6128)
Mg (0.3615, 0.3615, 0.1382)
Mg (0.6385, 0.6385, 0.8618)
In (0.0800, 0.0800, 0.9402)
In (0.3845, 0.3845, 0.3894)
In (0.6155, 0.6155, 0.6106)
In (0.9200, 0.9200, 0.0598)



two | DFT (GGA-PBE) results for an optimized crystal structure of Ba2MgIn2.

Lattice parameters (Å, degrees): 8.2245 8.2245 5.5014 90.00 90.00 90.00
Atoms (fractional coordinates):
Ba (0.1655, 0.3345, 0.0000)
Ba (0.3345, 0.8345, 0.0000)
Ba (0.6655, 0.1655, 0.0000)
Ba (0.8345, 0.6655, 0.0000)
Mg (0.0000, 0.0000, 0.5000)
Mg (0.5000, 0.5000, 0.5000)
In (0.1362, 0.6362, 0.5000)
In (0.3638, 0.1362, 0.5000)
In (0.6362, 0.8638, 0.5000)
In (0.8638, 0.3638, 0.5000)



The calculated energies rank the structures as follows, beginning with the most stable: one, two.



one | DFT (GGA-PBE) results for an optimized crystal structure of BaMg4In2.

Lattice parameters (Å, degrees): 9.0421 9.0421 4.8143 90.00 90.00 90.00
Atoms (fractional coordinates):
Ba (0.0000, 0.0000, 0.0000)
Ba (0.5000, 0.5000, 0.5000)
Mg (0.0898, 0.3458, 0.5000)
Mg (0.1542, 0.5898, 0.0000)
Mg (0.3458, 0.0898, 0.5000)
Mg (0.4102, 0.8458, 0.0000)
Mg (0.5898, 0.1542, 0.0000)
Mg (0.6542, 0.9102, 0.5000)
Mg (0.8458, 0.4102, 0.0000)
Mg (0.9102, 0.6542, 0.5000)
In (0.2183, 0.7817, 0.5000)
In (0.2817, 0.2817, 0.0000)
In (0.7183, 0.7183, 0.0000)
In (0.7817, 0.2183, 0.5000)



two | DFT (GGA-PBE) results for an optimized crystal structure of BaMg4In2.

Lattice parameters (Å, degrees): 9.6528 9.6528 9.6528 30.02 30.02 30.02
Atoms (fractional coordinates):
Ba (0.0000, 0.0000, 0.0000)
Mg (0.1408, 0.1408, 0.1408)
Mg (0.4348, 0.4348, 0.4348)
Mg (0.5652, 0.5652, 0.5652)
Mg (0.8592, 0.8592, 0.8592)
In (0.2508, 0.2508, 0.2508)
In (0.7492, 0.7492, 0.7492)



The calculated energies rank the structures as follows, beginning with the most stable: two, one.



one | DFT (GGA-PBE) results for an optimized crystal structure of BaMg3In.

Lattice parameters (Å, degrees): 7.9272 7.9272 7.9272 135.63 98.50 97.89
Atoms (fractional coordinates):
Ba (0.2812, 0.0312, 0.2500)
Ba (0.7188, 0.9688, 0.7500)
Mg (0.0825, 0.3325, 0.7500)
Mg (0.2457, 0.0000, 0.7457)
Mg (0.2457, 0.5000, 0.2457)
Mg (0.7543, 0.0000, 0.2543)
Mg (0.7543, 0.5000, 0.7543)
Mg (0.9175, 0.6675, 0.2500)
In (0.0000, 0.5000, 0.5000)
In (0.5000, 0.5000, 0.0000)



two | DFT (GGA-PBE) results for an optimized crystal structure of BaMg3In.

Lattice parameters (Å, degrees): 7.5153 7.5153 6.2990 90.00 90.00 120.00
Atoms (fractional coordinates):
Ba (0.3333, 0.6667, 0.2500)
Ba (0.6667, 0.3333, 0.7500)
Mg (0.1949, 0.3899, 0.7500)
Mg (0.1949, 0.8051, 0.7500)
Mg (0.3899, 0.1949, 0.2500)
Mg (0.6101, 0.8051, 0.7500)
Mg (0.8051, 0.1949, 0.2500)
Mg (0.8051, 0.6101, 0.2500)
In (0.0000, 0.0000, 0.0000)
In (0.0000, 0.0000, 0.5000)



three | DFT (GGA-PBE) results for an optimized crystal structure of BaMg3In.

Lattice parameters (Å, degrees): 6.4602 6.4602 6.4602 90.00 90.00 90.00
Atoms (fractional coordinates):
Ba (0.0000, 0.0000, 0.0000)
Mg (0.0000, 0.0000, 0.5000)
Mg (0.0000, 0.5000, 0.0000)
Mg (0.5000, 0.0000, 0.0000)
In (0.5000, 0.5000, 0.5000)



four | DFT (GGA-PBE) results for an optimized crystal structure of BaMg3In.

Lattice parameters (Å, degrees): 5.5604 5.5604 5.5604 90.00 90.00 90.00
Atoms (fractional coordinates):
Ba (0.0000, 0.0000, 0.0000)
Mg (0.0000, 0.5000, 0.5000)
Mg (0.5000, 0.0000, 0.5000)
Mg (0.5000, 0.5000, 0.0000)
In (0.5000, 0.5000, 0.5000)



The calculated energies rank the structures as follows, beginning with the most stable: one, two, four, three.